[1]
A plane-wave DFT calculation with PBE was carried out for PrErLuPb after structural relaxation.

abc: 5.5186 5.5186 5.5186
angles: 60.00 60.00 60.00
Atoms (fractional coordinates):
Pb1 0.2500 0.2500 0.2500
Pr1 0.0000 0.0000 0.0000
Lu1 0.7500 0.7500 0.7500
Er1 0.5000 0.5000 0.5000

As for the size of the total moment: 0.0 μB/f.u. The energy relative to the elements comes out at -0.115 eV per atom. The space group is F-43m, No. 216. For the density of states at the Fermi level, the calculation gives 1.803 states/eV per atom.

***

[2]
A plane-wave DFT calculation with PBE was carried out for ScCu7Pd12 after structural relaxation.

abc: 6.8853 6.8853 6.8853
angles: 95.95 95.95 95.95
Atoms (fractional coordinates):
Sc1 0.0000 0.0000 0.0000
Cu1 0.9300 0.6236 0.9300
Cu2 0.3764 0.0700 0.0700
Cu3 0.0700 0.0700 0.3764
Cu4 0.5000 0.5000 0.5000
Cu5 0.9300 0.9300 0.6236
Cu6 0.6236 0.9300 0.9300
Cu7 0.0700 0.3764 0.0700
Pd1 0.7782 0.2409 0.7782
Pd2 0.7591 0.2218 0.2218
Pd3 0.4344 0.1465 0.4344
Pd4 0.8535 0.5656 0.5656
Pd5 0.2218 0.2218 0.7591
Pd6 0.5656 0.5656 0.8535
Pd7 0.4344 0.4344 0.1465
Pd8 0.7782 0.7782 0.2409
Pd9 0.1465 0.4344 0.4344
Pd10 0.5656 0.8535 0.5656
Pd11 0.2409 0.7782 0.7782
Pd12 0.2218 0.7591 0.2218

As for the size of the total moment: 0.0 μB/f.u. The energy relative to the elements comes out at 0.137 eV per atom. The space group is R-3m, No. 166. For the density of states at the Fermi level, the calculation gives 0.839 states/eV per atom.

***

[3]
A plane-wave DFT calculation with PBE was carried out for MoAsBr2 after structural relaxation.

abc: 10.3788 10.3788 10.3788
angles: 17.90 17.90 17.90
Atoms (fractional coordinates):
Mo1 0.2500 0.2500 0.2500
As1 0.7500 0.7500 0.7500
Br1 0.9766 0.9766 0.9766
Br2 0.5234 0.5234 0.5234

As for the size of the total moment: 0.1 μB/f.u. The energy above the most stable polymorph in this dataset comes out at 0.494 eV per atom. The space group is R-3m, No. 166. The formation energy without anion corrections is 0.320 eV/atom. For the density of states at the Fermi level, the calculation gives 0.858 states/eV per atom.

***

[4]
A plane-wave DFT calculation with PBE was carried out for LaTb15Ho4 after structural relaxation.

abc: 5.0391 5.0391 25.2325
angles: 90.00 90.00 90.00
Atoms (fractional coordinates):
La1 0.0000 0.0000 0.0000
Tb1 0.5000 0.5000 0.0000
Tb2 0.5000 0.5000 0.2023
Tb3 0.5000 0.5000 0.4005
Tb4 0.5000 0.5000 0.5995
Tb5 0.5000 0.5000 0.7977
Tb6 0.5000 0.0000 0.1026
Tb7 0.5000 0.0000 0.3011
Tb8 0.5000 0.0000 0.5000
Tb9 0.5000 0.0000 0.6989
Tb10 0.5000 0.0000 0.8974
Tb11 0.0000 0.5000 0.1026
Tb12 0.0000 0.5000 0.3011
Tb13 0.0000 0.5000 0.5000
Tb14 0.0000 0.5000 0.6989
Tb15 0.0000 0.5000 0.8974
Ho1 0.0000 0.0000 0.2013
Ho2 0.0000 0.0000 0.4005
Ho3 0.0000 0.0000 0.5995
Ho4 0.0000 0.0000 0.7987

As for the size of the total moment: 0.0 μB/f.u. The energy relative to the elements comes out at 0.020 eV per atom. The space group is P4/mmm, No. 123. For the density of states at the Fermi level, the calculation gives 1.366 states/eV per atom.

***

[5]
A plane-wave DFT calculation with PBE was carried out for FeReBr2 after structural relaxation.

abc: 9.0732 9.0732 9.0732
angles: 159.27 160.07 28.91
Atoms (fractional coordinates):
Br1 0.0122 0.0122 0.0000
Br2 0.7342 0.2342 0.5000
Fe1 0.4211 0.4211 0.0000
Re1 0.3325 0.8325 0.5000

As for the size of the total moment: 0.8 μB/f.u. The energy above the most stable polymorph in this dataset comes out at 0.336 eV per atom. The space group is Imm2, No. 44. The formation energy without anion corrections is 0.647 eV/atom. For the density of states at the Fermi level, the calculation gives 0.594 states/eV per atom.

***

[6]
A plane-wave DFT calculation with PBE was carried out for CrBiAu after structural relaxation.

abc: 6.5126 6.5126 6.5126
angles: 90.00 90.00 90.00
Atoms (fractional coordinates):
Cr1 0.0000 0.0000 0.0000
Cr2 0.0000 0.5000 0.5000
Cr3 0.5000 0.0000 0.5000
Cr4 0.5000 0.5000 0.0000
Au1 0.2500 0.2500 0.2500
Au2 0.2500 0.7500 0.7500
Au3 0.7500 0.2500 0.7500
Au4 0.7500 0.7500 0.2500
Bi1 0.7500 0.7500 0.7500
Bi2 0.7500 0.2500 0.2500
Bi3 0.2500 0.7500 0.2500
Bi4 0.2500 0.2500 0.7500

As for the size of the total moment: 3.6 μB/f.u. The energy above the most stable polymorph in this dataset comes out at 0.000 eV per atom. The energy relative to the elements comes out at 0.260 eV per atom. The space group is F-43m, No. 216. For the density of states at the Fermi level, the calculation gives 0.597 states/eV per atom.

***

[7]
A plane-wave DFT calculation with PBE was carried out for NaYI2N after structural relaxation.

abc: 6.2648 6.2648 4.1757
angles: 90.00 90.00 90.00
Atoms (fractional coordinates):
I1 0.0000 0.5000 0.0000
I2 0.5000 0.0000 0.0000
Y1 0.0000 0.0000 0.0000
N1 0.0000 0.0000 0.5000
Na1 0.5000 0.5000 0.5000

As for the size of the total moment: 0.2 μB/f.u. The energy above the most stable polymorph in this dataset comes out at 0.000 eV per atom. The space group is P4/mmm, No. 123. The formation energy without anion corrections is -0.634 eV/atom. For the density of states at the Fermi level, the calculation gives 0.507 states/eV per atom.

***

[8]
A plane-wave DFT calculation with PBE was carried out for NaCd5O6 after structural relaxation.

abc: 5.8222 5.8273 5.8358
angles: 60.05 80.50 70.70
Atoms (fractional coordinates):
Na1 0.0000 0.0000 0.0000
O1 0.7478 0.0856 0.3453
O2 0.2522 0.5691 0.3453
O3 0.2586 0.2577 0.0000
O4 0.7414 0.7423 0.0000
O5 0.7478 0.4309 0.6547
O6 0.2522 0.9144 0.6547
Cd1 0.5000 0.1647 0.6705
Cd2 0.0000 0.3329 0.3343
Cd3 0.5000 0.5000 0.0000
Cd4 0.0000 0.6671 0.6657
Cd5 0.5000 0.8353 0.3295

As for the size of the total moment: 0.9 μB/f.u. The space group is C2/m, No. 12. The formation energy without anion corrections is -1.016 eV/atom. For the density of states at the Fermi level, the calculation gives 0.776 states/eV per atom.

***

- What is the size of the total moment in the sixth record?
  3.6 μB/f.u.

***

- The highest size of the total moment belongs to which entry?
  CrBiAu